No. 1
LiIrPt2 | PBE | optimized geometry Values from VASP.

## Properties
VASP energy = -22.771 eV for the cell shown

The structure in Quantum ESPRESSO input format:
```
&SYSTEM
  ibrav = 0, nat = 4, ntyp = 3
/
ATOMIC_SPECIES
Li 6.94 Li.upf
Ir 192.22 Ir.upf
Pt 195.08 Pt.upf
CELL_PARAMETERS angstrom
0.000 3.078 3.078
3.078 0.000 3.078
3.078 3.078 0.000
ATOMIC_POSITIONS crystal
Li 0.000 0.000 0.000
Ir 0.250 0.250 0.250
Pt 0.500 0.500 0.500
Pt 0.750 0.750 0.750
```

=====

No. 2
Li3IrPt2 | PBE | optimized geometry Values from VASP.

## Properties
VASP energy = -29.579 eV for the cell shown

The structure in Quantum ESPRESSO input format:
```
&SYSTEM
  ibrav = 0, nat = 6, ntyp = 3
/
ATOMIC_SPECIES
Li 6.94 Li.upf
Ir 192.22 Ir.upf
Pt 195.08 Pt.upf
CELL_PARAMETERS angstrom
2.719 0.000 0.000
-1.359 2.355 0.000
0.000 0.000 12.759
ATOMIC_POSITIONS crystal
Li 0.000 0.000 0.000
Li 0.333 0.667 0.666
Li 0.667 0.333 0.334
Ir 0.000 0.000 0.500
Pt 0.333 0.667 0.166
Pt 0.667 0.333 0.834
```